Crystalline Tb2PS at its relaxed geometry, computed with PBE-GGA.

```
data_Tb2PS
_space_group_name_H-M_alt 'R -3 m'
_space_group_IT_number 166
_space_group_name_Hall '-R 3 2"'
_cell_length_a 3.9786
_cell_length_b 3.9786
_cell_length_c 19.5792
_cell_angle_alpha 90.00
_cell_angle_beta 90.00
_cell_angle_gamma 120.00
loop_
_atom_site_label
_atom_site_fract_x
_atom_site_fract_y
_atom_site_fract_z
_atom_site_occupancy
Tb1 0.0000 0.0000 0.2471 1
P1 0.0000 0.0000 0.5000 1
S1 0.0000 0.0000 0.0000 1
```

Properties
Crystal system: trigonal
Energy relative to the lowest polymorph listed for this composition: 0.016 eV/f.u.
Magnetic moment: 0.000 μB/atom
Energy: -0.483 Ry per atom
Energy relative to the elements, uncorrected: -1.878 eV/atom


Crystalline TlP2N at its relaxed geometry, computed with PBE-GGA.

```
data_TlP2N
_space_group_name_H-M_alt 'I -4 2 d'
_space_group_IT_number 122
_space_group_name_Hall 'I -4 2bw'
_cell_length_a 4.8532
_cell_length_b 4.8532
_cell_length_c 12.2519
_cell_angle_alpha 90.00
_cell_angle_beta 90.00
_cell_angle_gamma 90.00
loop_
_atom_site_label
_atom_site_fract_x
_atom_site_fract_y
_atom_site_fract_z
_atom_site_occupancy
Tl1 0.0000 0.0000 0.0000 1
P1 0.0603 0.2500 0.6250 1
N1 0.0000 0.0000 0.5000 1
```

Properties
Crystal system: tetragonal
Energy relative to the lowest polymorph listed for this composition: 0.000 eV/f.u.
Magnetic moment: 0.000 μB/atom
Energy: -0.346 Ry per atom
Energy relative to the elements, uncorrected: 0.676 eV/atom


Crystalline TcTe2As at its relaxed geometry, computed with PBE-GGA.

```
data_TcTe2As
_space_group_name_H-M_alt 'P 4/m m m'
_space_group_IT_number 123
_space_group_name_Hall '-P 4 2'
_cell_length_a 4.9557
_cell_length_b 4.9557
_cell_length_c 3.3673
_cell_angle_alpha 90.00
_cell_angle_beta 90.00
_cell_angle_gamma 90.00
loop_
_atom_site_label
_atom_site_fract_x
_atom_site_fract_y
_atom_site_fract_z
_atom_site_occupancy
Tc1 0.0000 0.0000 0.0000 1
Te1 0.0000 0.5000 0.5000 1
As1 0.5000 0.5000 0.0000 1
```

Properties
Crystal system: tetragonal
Magnetic moment: 0.005 μB/atom
Energy: -0.346 Ry per atom
Energy relative to the elements, uncorrected: 0.613 eV/atom


Crystalline AcLaTb6 at its relaxed geometry, computed with PBE-GGA.

```
data_AcLaTb6
_space_group_name_H-M_alt 'P 4/m m m'
_space_group_IT_number 123
_space_group_name_Hall '-P 4 2'
_cell_length_a 5.1473
_cell_length_b 5.1473
_cell_length_c 10.2937
_cell_angle_alpha 90.00
_cell_angle_beta 90.00
_cell_angle_gamma 90.00
loop_
_atom_site_label
_atom_site_fract_x
_atom_site_fract_y
_atom_site_fract_z
_atom_site_occupancy
Ac1 0.0000 0.0000 0.0000 1
La1 0.0000 0.0000 0.5000 1
Tb1 0.0000 0.5000 0.2540 1
Tb2 0.5000 0.5000 0.0000 1
Tb3 0.5000 0.5000 0.5000 1
```

Properties
Crystal system: tetragonal
Energy relative to the lowest polymorph listed for this composition: 0.000 eV/f.u.
Formation enthalpy at 0 K: 0.0399 eV/atom
Magnetic moment: 0.000 μB/atom
Energy: -0.335 Ry per atom


Crystalline Ba2Zr2Rh at its relaxed geometry, computed with PBE-GGA.

```
data_Ba2Zr2Rh
_space_group_name_H-M_alt 'P 4/m b m'
_space_group_IT_number 127
_space_group_name_Hall '-P 4 2ab'
_cell_length_a 7.4101
_cell_length_b 7.4101
_cell_length_c 5.7034
_cell_angle_alpha 90.00
_cell_angle_beta 90.00
_cell_angle_gamma 90.00
loop_
_atom_site_label
_atom_site_fract_x
_atom_site_fract_y
_atom_site_fract_z
_atom_site_occupancy
Ba1 0.1604 0.3396 0.0000 1
Zr1 0.1492 0.6492 0.5000 1
Rh1 0.0000 0.0000 0.0000 1
```

Properties
Crystal system: tetragonal
Energy relative to the lowest polymorph listed for this composition: 2.556 eV/f.u.
Formation enthalpy at 0 K: 0.9527 eV/atom
Magnetic moment: 0.000 μB/atom
Energy: -0.346 Ry per atom


Crystalline Y3Tm2Th2 at its relaxed geometry, computed with PBE-GGA.

```
data_Y3Tm2Th2
_space_group_name_H-M_alt 'C 1 2/m 1'
_space_group_IT_number 12
_cell_length_a 15.4274
_cell_length_b 3.5632
_cell_length_c 8.7142
_cell_angle_alpha 90.00
_cell_angle_beta 111.92
_cell_angle_gamma 90.00
loop_
_space_group_symop_operation_xyz
'x,y,z'
'-x,-y,-z'
'-x,y,-z'
'x,-y,z'
'x+1/2,y+1/2,z'
'-x+1/2,-y+1/2,-z'
'-x+1/2,y+1/2,-z'
'x+1/2,-y+1/2,z'
loop_
_atom_site_label
_atom_site_fract_x
_atom_site_fract_y
_atom_site_fract_z
_atom_site_occupancy
Y1 0.0000 0.0000 0.0000 1
Y2 0.1387 0.0000 0.4317 1
Tm1 0.2163 0.5000 0.1386 1
Th1 0.0726 0.5000 0.7140 1
```

Properties
Crystal system: monoclinic
Energy relative to the lowest polymorph listed for this composition: 0.000 eV/f.u.
Formation enthalpy at 0 K: 0.0286 eV/atom
Magnetic moment: 0.000 μB/atom
Energy: -0.451 Ry per atom


Crystalline CaPr6Dy5 at its relaxed geometry, computed with PBE-GGA.

```
data_CaPr6Dy5
_space_group_name_H-M_alt 'C 1 2/m 1'
_space_group_IT_number 12
_cell_length_a 12.0140
_cell_length_b 11.0015
_cell_length_c 6.3320
_cell_angle_alpha 90.00
_cell_angle_beta 100.22
_cell_angle_gamma 90.00
loop_
_space_group_symop_operation_xyz
'x,y,z'
'-x,-y,-z'
'-x,y,-z'
'x,-y,z'
'x+1/2,y+1/2,z'
'-x+1/2,-y+1/2,-z'
'-x+1/2,y+1/2,-z'
'x+1/2,-y+1/2,z'
loop_
_atom_site_label
_atom_site_fract_x
_atom_site_fract_y
_atom_site_fract_z
_atom_site_occupancy
Ca1 0.0000 0.0000 0.0000 1
Pr1 0.2468 0.3295 0.7479 1
Pr2 0.2477 0.5000 0.2586 1
Dy1 0.0000 0.1713 0.5000 1
Dy2 0.0000 0.3381 0.0000 1
Dy3 0.0000 0.5000 0.5000 1
```

Properties
Crystal system: monoclinic
Formation enthalpy at 0 K: 0.0293 eV/atom
Magnetic moment: 0.000 μB/atom
Energy: -0.327 Ry per atom


Crystalline Ba3P at its relaxed geometry, computed with PBE-GGA.

```
data_Ba3P
_space_group_name_H-M_alt 'P m m 2'
_space_group_IT_number 25
_cell_length_a 4.2436
_cell_length_b 4.4415
_cell_length_c 11.3535
_cell_angle_alpha 90.00
_cell_angle_beta 90.00
_cell_angle_gamma 90.00
loop_
_space_group_symop_operation_xyz
'x,y,z'
'-x,-y,z'
'-x,y,z'
'x,-y,z'
loop_
_atom_site_label
_atom_site_fract_x
_atom_site_fract_y
_atom_site_fract_z
_atom_site_occupancy
Ba1 0.0000 0.0000 0.0000 1
Ba2 0.0000 0.5000 0.2988 1
Ba3 0.5000 0.5000 0.6720 1
P1 0.5000 0.0000 0.2001 1
```

Properties
Crystal system: orthorhombic
Energy relative to the lowest polymorph listed for this composition: 0.671 eV/f.u.
Formation enthalpy at 0 K: -0.4152 eV/atom
Magnetic moment: 0.164 μB/atom
Energy: -0.236 Ry per atom